# TmHfNp2As4 | Alexandria via LeMat-Bulk | GGA-PBE | optimized geometry
# - ΔH_f (0 K) (eV per atom) = -0.96
# - density of states at the Fermi level (states/eV per cell) = 20.9
# - calculated total energy (eV/atom) = -8.33
# - SG = P2/m (10)
data_TmHfNp2As4
_chemical_formula_sum 'Tm1 Hf1 Np2 As4'
_symmetry_space_group_name_H-M 'P 1'
_symmetry_Int_Tables_number 1
_symmetry_space_group_name_Hall 'P 1'
_cell_length_a 4.0025
_cell_length_b 6.9808
_cell_length_c 6.9570
_cell_angle_alpha 109.28
_cell_angle_beta 90.00
_cell_angle_gamma 90.00
loop_
_atom_site_label
_atom_site_fract_x
_atom_site_fract_y
_atom_site_fract_z
Hf1 0.0000 0.0000 0.0000
As1 0.0000 0.7547 0.2409
As2 0.5000 0.7608 0.7633
As3 0.0000 0.2453 0.7591
As4 0.5000 0.2392 0.2367
Np1 0.5000 0.0000 0.5000
Np2 0.0000 0.5000 0.5000
Tm1 0.5000 0.5000 0.0000

# Y2HfNpAs4 | Alexandria via LeMat-Bulk | GGA-PBE | optimized geometry
# - ΔH_f (0 K) (eV per atom) = -1.19
# - density of states at the Fermi level (states/eV per cell) = 10.7
# - calculated total energy (eV/atom) = -7.99
# - SG = P2/m (10)
data_Y2HfNpAs4
_chemical_formula_sum 'Y2 Hf1 Np1 As4'
_symmetry_space_group_name_H-M 'P 1'
_symmetry_Int_Tables_number 1
_symmetry_space_group_name_Hall 'P 1'
_cell_length_a 4.0303
_cell_length_b 6.9831
_cell_length_c 7.0060
_cell_angle_alpha 109.15
_cell_angle_beta 90.00
_cell_angle_gamma 90.00
loop_
_atom_site_label
_atom_site_fract_x
_atom_site_fract_y
_atom_site_fract_z
Hf1 0.0000 0.0000 0.0000
Np1 0.5000 0.5000 0.0000
As1 0.0000 0.2441 0.7582
As2 0.5000 0.2377 0.2360
As3 0.5000 0.7623 0.7640
As4 0.0000 0.7559 0.2418
Y1 0.5000 0.0000 0.5000
Y2 0.0000 0.5000 0.5000

# Hf3ZrNp4As8 | Alexandria via LeMat-Bulk | GGA-PBE | optimized geometry
# - ΔH_f (0 K) (eV per atom) = -0.89
# - density of states at the Fermi level (states/eV per cell) = 38.5
# - calculated total energy (eV/atom) = -8.85
# - SG = R-3m (166)
data_Hf3ZrNp4As8
_chemical_formula_sum 'Hf3 Zr1 Np4 As8'
_symmetry_space_group_name_H-M 'P 1'
_symmetry_Int_Tables_number 1
_symmetry_space_group_name_Hall 'P 1'
_cell_length_a 7.9332
_cell_length_b 7.9297
_cell_length_c 7.9301
_cell_angle_alpha 119.97
_cell_angle_beta 120.01
_cell_angle_gamma 90.00
loop_
_atom_site_label
_atom_site_fract_x
_atom_site_fract_y
_atom_site_fract_z
As1 0.7546 0.2660 0.0118
As2 0.2572 0.2660 0.0118
As3 0.2559 0.2678 0.5117
As4 0.7541 0.2654 0.5083
As5 0.2459 0.7346 0.4917
As6 0.2454 0.7340 0.9882
As7 0.7441 0.7322 0.4883
As8 0.7428 0.7340 0.9882
Hf1 0.5000 0.5000 0.5000
Hf2 0.5000 0.5000 0.0000
Hf3 0.0000 0.5000 0.5000
Np1 0.0000 0.0000 0.0000
Np2 0.5000 0.0000 0.5000
Np3 0.0000 0.0000 0.5000
Np4 0.5000 0.0000 0.0000
Zr1 0.0000 0.5000 0.0000

# HfZr3Np4As8 | Alexandria via LeMat-Bulk | GGA-PBE | optimized geometry
# - ΔH_f (0 K) (eV per atom) = -0.92
# - density of states at the Fermi level (states/eV per cell) = 39.5
# - calculated total energy (eV/atom) = -8.71
# - SG = R-3m (166)
data_HfZr3Np4As8
_chemical_formula_sum 'Hf1 Zr3 Np4 As8'
_symmetry_space_group_name_H-M 'P 1'
_symmetry_Int_Tables_number 1
_symmetry_space_group_name_Hall 'P 1'
_cell_length_a 7.9524
_cell_length_b 7.9502
_cell_length_c 7.9523
_cell_angle_alpha 120.01
_cell_angle_beta 120.00
_cell_angle_gamma 90.00
loop_
_atom_site_label
_atom_site_fract_x
_atom_site_fract_y
_atom_site_fract_z
As1 0.2443 0.7355 0.4885
As2 0.2541 0.2622 0.5081
As3 0.7557 0.2645 0.5115
As4 0.2531 0.2645 0.0088
As5 0.2443 0.7355 0.9912
As6 0.7557 0.2645 0.0088
As7 0.7469 0.7355 0.9912
As8 0.7459 0.7378 0.4919
Np1 0.5000 0.0000 0.0000
Np2 0.5000 0.0000 0.5000
Np3 0.0000 0.0000 0.5000
Np4 0.0000 0.0000 0.0000
Zr1 0.5000 0.5000 0.0000
Zr2 0.0000 0.5000 0.5000
Zr3 0.5000 0.5000 0.5000
Hf1 0.0000 0.5000 0.0000

# HfAs3O | Alexandria via LeMat-Bulk | GGA-PBE | optimized geometry
# - density of states at the Fermi level (states/eV per cell) = 1.8
# - calculated total energy (eV/atom) = -5.95
# - SG = Pm-3m (221)
# - energy relative to the lowest polymorph listed for this composition (kJ per mole of atoms) = 0.00
data_HfAs3O
_chemical_formula_sum 'Hf1 As3 O1'
_symmetry_space_group_name_H-M 'P 1'
_symmetry_Int_Tables_number 1
_symmetry_space_group_name_Hall 'P 1'
_cell_length_a 4.3761
_cell_length_b 4.3761
_cell_length_c 4.3761
_cell_angle_alpha 90.00
_cell_angle_beta 90.00
_cell_angle_gamma 90.00
loop_
_atom_site_label
_atom_site_fract_x
_atom_site_fract_y
_atom_site_fract_z
As1 0.5000 0.0000 0.0000
As2 0.0000 0.0000 0.5000
As3 0.0000 0.5000 0.0000
Hf1 0.5000 0.5000 0.5000
O1 0.0000 0.0000 0.0000

# Hf2As2O | Alexandria via LeMat-Bulk | GGA-PBE | optimized geometry
# - density of states at the Fermi level (states/eV per cell) = 4.5
# - calculated total energy (eV/atom) = -8.38
# - SG = Pnma (62)
data_Hf2As2O
_chemical_formula_sum 'Hf8 As8 O4'
_symmetry_space_group_name_H-M 'P 1'
_symmetry_Int_Tables_number 1
_symmetry_space_group_name_Hall 'P 1'
_cell_length_a 5.4083
_cell_length_b 6.7883
_cell_length_c 10.3712
_cell_angle_alpha 90.00
_cell_angle_beta 90.00
_cell_angle_gamma 90.00
loop_
_atom_site_label
_atom_site_fract_x
_atom_site_fract_y
_atom_site_fract_z
Hf1 0.2500 0.1737 0.9430
Hf2 0.7500 0.8263 0.0570
Hf3 0.7500 0.4588 0.7674
Hf4 0.7500 0.3263 0.4430
Hf5 0.2500 0.0412 0.2674
Hf6 0.7500 0.9588 0.7326
Hf7 0.2500 0.6737 0.5570
Hf8 0.2500 0.5412 0.2326
As1 0.2500 0.4762 0.7801
As2 0.7500 0.1987 0.9598
As3 0.7500 0.5238 0.2199
As4 0.7500 0.0238 0.2801
As5 0.2500 0.8013 0.0402
As6 0.2500 0.3013 0.4598
As7 0.2500 0.9762 0.7199
As8 0.7500 0.6987 0.5402
O1 0.7500 0.7251 0.8672
O2 0.7500 0.2251 0.6328
O3 0.2500 0.7749 0.3672
O4 0.2500 0.2749 0.1328